Compound: YCu6ClO8
Source: Alexandria via LeMat-Bulk
Functional: PBE
Structure: relaxed

```
YCu6ClO8
1.0
0.0000 4.6420 4.6420
4.6420 0.0000 4.6420
4.6420 4.6420 0.0000
Y Cu Cl O
1 6 1 8
Direct
0.0000 0.0000 0.0000
0.0000 0.0000 0.5000
0.0000 0.5000 0.0000
0.0000 0.5000 0.5000
0.5000 0.0000 0.0000
0.5000 0.0000 0.5000
0.5000 0.5000 0.0000
0.5000 0.5000 0.5000
0.1445 0.1445 0.1445
0.1445 0.1445 0.5664
0.1445 0.5664 0.1445
0.4336 0.8555 0.8555
0.5664 0.1445 0.1445
0.8555 0.4336 0.8555
0.8555 0.8555 0.4336
0.8555 0.8555 0.8555
```

Calculated values
Uncorrected formation energy: -1.08 eV per atom
Magnetization: 0.00 μB/cell
E_tot: -89.8 eV for the cell shown
SG: Fm-3m, No. 225